The following is a DFT calculation (PBE) of a relaxed PrTh3As4 crystal.

```
data_PrTh3As4
_chemical_formula_sum 'Pr2 Th6 As8'
_space_group_name_H-M_alt 'C m m m'
_space_group_IT_number 65
_space_group_name_Hall '-C 2 2'
_cell_length_a 8.542
_cell_length_b 12.056
_cell_length_c 4.260
_cell_angle_alpha 90.00
_cell_angle_beta 90.00
_cell_angle_gamma 90.00
loop_
_atom_site_label
_atom_site_type_symbol
_atom_site_fract_x
_atom_site_fract_y
_atom_site_fract_z
_atom_site_occupancy
Pr1 Pr 0.000 0.000 0.000 1
Th1 Th 0.000 0.500 0.000 1
Th2 Th 0.250 0.250 0.500 1
As1 As 0.000 0.251 0.000 1
As2 As 0.246 0.500 0.500 1
```

The density of states at the Fermi level is 7.045 states/eV/cell. The calculation puts the formation enthalpy at 0 K at -1433.0 meV/atom.